No. 1
Computed, not measured: a relaxed structure of Ba2OsPb at the GGA-PBE level of DFT.

Summary:
The calculation puts the density at 8.5 g/cm3. The value obtained for the formation enthalpy at 0 K is 1.294 eV per formula unit. Its total energy is -4.37 eV/atom. As for the magnetization: 0.000 μB/atom. The symmetry is Imm2 (44).

a = 7.0358 Å, b = 7.0358 Å, c = 7.0358 Å
α = 148.69°, β = 132.82°, γ = 57.72°
With the nearest neighbours (Å) after each atom.
Atoms (fractional coordinates):
1 Ba 0.0070 0.0070 0.0000  4 Os 3.41, 2 Pb 3.66, 4 Ba 3.66-3.80
2 Ba 0.6973 0.1973 0.5000  2 Os 3.30, 2 Ba 3.66
3 Pb 0.3174 0.8174 0.5000  2 Os 2.75
4 Os 0.4783 0.4783 0.0000  2 Pb 2.75

No. 2
Computed, not measured: a relaxed structure of Ba2OsPb at the GGA-PBE level of DFT.

Summary:
The calculation puts the density at 8.8 g/cm3. The value obtained for the formation enthalpy at 0 K is 2.299 eV per formula unit. Its total energy is -4.12 eV/atom. As for the magnetization: 0.125 μB/atom. The symmetry is Immm (71).

a = 6.1455 Å, b = 6.1455 Å, c = 5.5087 Å
α = 63.34°, β = 63.34°, γ = 44.36°
With the nearest neighbours (Å) after each atom.
Atoms (fractional coordinates):
1 Ba 0.0339 0.0339 0.9662  2 Os 3.16, 2 Pb 3.49-3.50
2 Ba 0.4661 0.4661 0.5338  2 Os 3.16, 2 Pb 3.49-3.50
3 Os 0.7500 0.7500 0.7500  4 Ba 3.16
4 Pb 0.2500 0.2500 0.2500  8 Ba 3.49-3.66, 4 Os 3.60

No. 3
Computed, not measured: a relaxed structure of Ba2OsPb at the GGA-PBE level of DFT.

Summary:
The calculation puts the density at 8.0 g/cm3. The value obtained for the formation enthalpy at 0 K is 1.697 eV per formula unit. Its total energy is -4.27 eV/atom. As for the magnetization: 0.097 μB/atom. The symmetry is Pmm2 (25).

a = 3.7692 Å, b = 3.7589 Å, c = 9.8729 Å
α = 90.00°, β = 90.00°, γ = 90.00°
With the nearest neighbours (Å) after each atom.
Atoms (fractional coordinates):
1 Ba 0.0000 0.0000 0.9188  1 Os 3.53, 4 Pb 3.56, 4 Ba 3.76-3.77
2 Ba 0.5000 0.5000 0.3400  1 Pb 3.35, 4 Os 3.45
3 Pb 0.5000 0.5000 0.6795  4 Os 2.90
4 Os 0.0000 0.0000 0.5617  4 Pb 2.90